# 1
# Tb4CeDy2

A geometry-optimized Tb4CeDy2 structure (GGA-PBE, the Alexandria database).

The total DFT energy (no corrections) is -4.27 eV/atom. As for the density of states at the Fermi level: 32.993 states/eV/cell. The calculation puts the energy of formation from the pure elements at 12.36 kcal/mol of atoms. The value obtained for the energy above the most stable polymorph in this dataset is 47.99 kJ/mol of atoms. The value obtained for the density is 7.86 Mg/m³.

Structure (CIF):
```
data_Tb4CeDy2
_cell_length_a 6.126
_cell_length_b 12.839
_cell_length_c 5.916
_cell_angle_alpha 90.00
_cell_angle_beta 90.00
_cell_angle_gamma 90.00
_space_group_name_H-M_alt 'C m m m'
_space_group_IT_number 65
_space_group_name_Hall '-C 2 2'
loop_
_atom_site_label
_atom_site_fract_x
_atom_site_fract_y
_atom_site_fract_z
Tb1 0.000 0.137 0.000
Tb2 0.000 0.301 0.500
Ce1 0.000 0.000 0.500
Dy1 0.000 0.389 0.000
```

=====

# 2
# Rb2NpOsO6

A geometry-optimized Rb2NpOsO6 structure (GGA-PBE, the Alexandria database).

The total DFT energy (no corrections) is -7.51 eV/atom. As for the density of states at the Fermi level: 17.119 states/eV/cell. For the formation energy from raw total energies, the calculation gives -1.9279 eV/atom. The value obtained for the density is 6.16 Mg/m³.

Structure (CIF):
```
data_Rb2NpOsO6
_cell_length_a 5.807
_cell_length_b 5.807
_cell_length_c 11.097
_cell_angle_alpha 90.00
_cell_angle_beta 90.00
_cell_angle_gamma 90.00
_space_group_name_H-M_alt 'I 4/m m m'
_space_group_IT_number 139
_space_group_name_Hall '-I 4 2'
loop_
_atom_site_label
_atom_site_fract_x
_atom_site_fract_y
_atom_site_fract_z
Rb1 0.000 0.500 0.250
Np1 0.000 0.000 0.000
Os1 0.000 0.000 0.500
O1 0.000 0.000 0.169
O2 0.228 0.228 0.500
```

=====

# 3
# KB6H6

A geometry-optimized KB6H6 structure (GGA-PBE, the Alexandria database).

The total DFT energy (no corrections) is -5.11 eV/atom. As for the density of states at the Fermi level: 0.000 states/eV/cell. The value obtained for the density is 1.22 Mg/m³.

Structure (CIF):
```
data_KB6H6
_cell_length_a 10.619
_cell_length_b 10.619
_cell_length_c 10.619
_cell_angle_alpha 90.00
_cell_angle_beta 90.00
_cell_angle_gamma 90.00
_space_group_name_H-M_alt 'F m -3'
_space_group_IT_number 202
_space_group_name_Hall '-F 2 2 3'
loop_
_atom_site_label
_atom_site_fract_x
_atom_site_fract_y
_atom_site_fract_z
K1 0.250 0.250 0.250
B1 0.000 0.136 0.083
H1 0.000 0.233 0.141
```

=====

# 4
# PrYCdRu

A geometry-optimized PrYCdRu structure (GGA-PBE, the Alexandria database).

The total DFT energy (no corrections) is -5.65 eV/atom. As for the density of states at the Fermi level: 3.894 states/eV/cell. The calculation puts the energy of formation from the pure elements at -6.79 kcal/mol of atoms. The value obtained for the energy above the most stable polymorph in this dataset is 0.00 kJ/mol of atoms. The value obtained for the density is 7.51 Mg/m³.

Structure (CIF):
```
data_PrYCdRu
_cell_length_a 3.544
_cell_length_b 3.544
_cell_length_c 7.804
_cell_angle_alpha 90.00
_cell_angle_beta 90.00
_cell_angle_gamma 90.00
_space_group_name_H-M_alt 'P 4 m m'
_space_group_IT_number 99
loop_
_space_group_symop_operation_xyz
'x,y,z'
'-y,x,z'
'-x,-y,z'
'y,-x,z'
'-x,y,z'
'y,x,z'
'x,-y,z'
'-y,-x,z'
loop_
_atom_site_label
_atom_site_fract_x
_atom_site_fract_y
_atom_site_fract_z
Pr1 0.000 0.000 0.000
Y1 0.000 0.000 0.566
Cd1 0.500 0.500 0.300
Ru1 0.500 0.500 0.772
```

=====

# 5
# LaBe3Ir

A geometry-optimized LaBe3Ir structure (GGA-PBE, the Alexandria database).

The total DFT energy (no corrections) is -5.34 eV/atom. As for the density of states at the Fermi level: 2.105 states/eV/cell. The calculation puts the energy of formation from the pure elements at -7.92 kcal/mol of atoms. The value obtained for the energy above the most stable polymorph in this dataset is 0.00 kJ/mol of atoms. The value obtained for the density is 7.18 Mg/m³.

Structure (CIF):
```
data_LaBe3Ir
_cell_length_a 4.359
_cell_length_b 4.359
_cell_length_c 4.359
_cell_angle_alpha 90.00
_cell_angle_beta 90.00
_cell_angle_gamma 90.00
_space_group_name_H-M_alt 'P m -3 m'
_space_group_IT_number 221
_space_group_name_Hall '-P 4 2 3'
loop_
_atom_site_label
_atom_site_fract_x
_atom_site_fract_y
_atom_site_fract_z
La1 0.000 0.000 0.000
Be1 0.000 0.500 0.500
Ir1 0.500 0.500 0.500
```

=====

# 6
# Sc2VFeHg

A geometry-optimized Sc2VFeHg structure (GGA-PBE, the Alexandria database).

The total DFT energy (no corrections) is -5.95 eV/atom. As for the density of states at the Fermi level: 4.528 states/eV/cell. The calculation puts the energy of formation from the pure elements at 3.64 kcal/mol of atoms. The value obtained for the density is 6.45 Mg/m³.

Structure (CIF):
```
data_Sc2VFeHg
_cell_length_a 4.917
_cell_length_b 4.917
_cell_length_c 4.228
_cell_angle_alpha 90.00
_cell_angle_beta 90.00
_cell_angle_gamma 90.00
_space_group_name_H-M_alt 'P 4/m m m'
_space_group_IT_number 123
_space_group_name_Hall '-P 4 2'
loop_
_atom_site_label
_atom_site_fract_x
_atom_site_fract_y
_atom_site_fract_z
Sc1 0.000 0.500 0.000
V1 0.000 0.000 0.500
Fe1 0.000 0.000 0.000
Hg1 0.500 0.500 0.500
```

=====

# 7
# TaMn2As

A geometry-optimized TaMn2As structure (GGA-PBE, the Alexandria database).

The total DFT energy (no corrections) is -8.75 eV/atom. As for the density of states at the Fermi level: 5.108 states/eV/cell. The calculation puts the energy of formation from the pure elements at -0.80 kcal/mol of atoms. The value obtained for the density is 10.80 Mg/m³.

Structure (CIF):
```
data_TaMn2As
_cell_length_a 3.721
_cell_length_b 3.721
_cell_length_c 8.126
_cell_angle_alpha 90.00
_cell_angle_beta 90.00
_cell_angle_gamma 90.00
_space_group_name_H-M_alt 'I -4 m 2'
_space_group_IT_number 119
_space_group_name_Hall 'I -4 -2'
loop_
_atom_site_label
_atom_site_fract_x
_atom_site_fract_y
_atom_site_fract_z
Ta1 0.000 0.000 0.000
Mn1 0.000 0.000 0.500
Mn2 0.000 0.500 0.250
As1 0.000 0.500 0.750
```

=====

# 8
# Sc5Sn2Sb2

A geometry-optimized Sc5Sn2Sb2 structure (GGA-PBE, the Alexandria database).

The total DFT energy (no corrections) is -6.08 eV/atom. As for the density of states at the Fermi level: 28.862 states/eV/cell. For the formation energy from raw total energies, the calculation gives -0.7558 eV/atom. The value obtained for the density is 5.40 Mg/m³.

Structure (CIF):
```
data_Sc5Sn2Sb2
_cell_length_a 14.458
_cell_length_b 7.762
_cell_length_c 7.741
_cell_angle_alpha 90.00
_cell_angle_beta 90.00
_cell_angle_gamma 90.00
_space_group_name_H-M_alt 'C m c e'
_space_group_IT_number 64
_space_group_name_Hall '-C 2ac 2'
loop_
_atom_site_label
_atom_site_fract_x
_atom_site_fract_y
_atom_site_fract_z
Sc1 0.000 0.000 0.000
Sc2 0.135 0.160 0.340
Sn1 0.203 0.000 0.000
Sb1 0.000 0.144 0.644
```

=====

# 9
# ScAl2Zn2

A geometry-optimized ScAl2Zn2 structure (GGA-PBE, the Alexandria database).

The total DFT energy (no corrections) is -3.39 eV/atom. As for the density of states at the Fermi level: 3.424 states/eV/cell. The calculation puts the energy of formation from the pure elements at -2.79 kcal/mol of atoms. The value obtained for the density is 4.47 Mg/m³.

Structure (CIF):
```
data_ScAl2Zn2
_cell_length_a 7.636
_cell_length_b 7.636
_cell_length_c 2.926
_cell_angle_alpha 90.00
_cell_angle_beta 90.00
_cell_angle_gamma 90.00
_space_group_name_H-M_alt 'P 4/m b m'
_space_group_IT_number 127
_space_group_name_Hall '-P 4 2ab'
loop_
_atom_site_label
_atom_site_fract_x
_atom_site_fract_y
_atom_site_fract_z
Sc1 0.000 0.000 0.000
Al1 0.128 0.372 0.000
Zn1 0.170 0.670 0.500
```

=====

# 10
# CsP2PbS6

A geometry-optimized CsP2PbS6 structure (GGA-PBE, the Alexandria database).

The total DFT energy (no corrections) is -4.41 eV/atom. As for the density of states at the Fermi level: 11.939 states/eV/cell. For the formation energy from raw total energies, the calculation gives -0.3972 eV/atom. The value obtained for the density is 3.08 Mg/m³.

Structure (CIF):
```
data_CsP2PbS6
_cell_length_a 12.178
_cell_length_b 12.433
_cell_length_c 9.346
_cell_angle_alpha 90.00
_cell_angle_beta 115.19
_cell_angle_gamma 90.00
_space_group_name_H-M_alt 'C 1 2/c 1'
_space_group_IT_number 15
loop_
_space_group_symop_operation_xyz
'x,y,z'
'-x,-y,-z'
'-x,y,-z+1/2'
'x,-y,z+1/2'
'x+1/2,y+1/2,z'
'-x+1/2,-y+1/2,-z'
'-x+1/2,y+1/2,-z+1/2'
'x+1/2,-y+1/2,z+1/2'
loop_
_atom_site_label
_atom_site_fract_x
_atom_site_fract_y
_atom_site_fract_z
Cs1 0.000 0.100 0.250
P1 0.245 0.389 0.288
Pb1 0.000 0.447 0.750
S1 0.077 0.368 0.112
S2 0.109 0.187 0.699
S3 0.231 0.030 0.099
```

=====

# 11
# ReAs2Br

A geometry-optimized ReAs2Br structure (GGA-PBE, the Alexandria database).

The total DFT energy (no corrections) is -5.50 eV/atom. As for the density of states at the Fermi level: 6.177 states/eV/cell. For the formation energy from raw total energies, the calculation gives 0.3566 eV/atom. The value obtained for the energy above the most stable polymorph in this dataset is 20.34 kJ/mol of atoms. The value obtained for the density is 7.60 Mg/m³.

Structure (CIF):
```
data_ReAs2Br
_cell_length_a 3.199
_cell_length_b 4.137
_cell_length_c 13.744
_cell_angle_alpha 90.00
_cell_angle_beta 90.00
_cell_angle_gamma 90.00
_space_group_name_H-M_alt 'I m m 2'
_space_group_IT_number 44
loop_
_space_group_symop_operation_xyz
'x,y,z'
'-x,-y,z'
'-x,y,z'
'x,-y,z'
'x+1/2,y+1/2,z+1/2'
'-x+1/2,-y+1/2,z+1/2'
'-x+1/2,y+1/2,z+1/2'
'x+1/2,-y+1/2,z+1/2'
loop_
_atom_site_label
_atom_site_fract_x
_atom_site_fract_y
_atom_site_fract_z
Re1 0.000 0.000 0.000
As1 0.000 0.000 0.534
As2 0.000 0.500 0.649
Br1 0.000 0.500 0.340
```

=====

# 12
# NdThPb2

A geometry-optimized NdThPb2 structure (GGA-PBE, the Alexandria database).

The total DFT energy (no corrections) is -5.17 eV/atom. As for the density of states at the Fermi level: 8.762 states/eV/cell. The calculation puts the energy of formation from the pure elements at -6.17 kcal/mol of atoms. The value obtained for the energy above the most stable polymorph in this dataset is 14.27 kJ/mol of atoms. The value obtained for the density is 10.66 Mg/m³.

Structure (CIF):
```
data_NdThPb2
_cell_length_a 3.5881
_cell_length_b 3.5881
_cell_length_c 33.1427
_cell_angle_alpha 90.00
_cell_angle_beta 90.00
_cell_angle_gamma 120.00
_space_group_name_H-M_alt 'R -3 m'
_space_group_IT_number 166
_space_group_name_Hall '-R 3 2"'
loop_
_atom_site_label
_atom_site_fract_x
_atom_site_fract_y
_atom_site_fract_z
Nd1 0.0000 0.0000 0.0000
Th1 0.0000 0.0000 0.5000
Pb1 0.0000 0.0000 0.2506
```